Si7Cl6: relaxed, GGA-PBE.

Values from the calculation:
formation energy from raw total energies: 0.2694 eV/atom
space group: R-3m, No. 166
electronic total energy: -3.503 eV per atom
total magnetic moment: 0.0 μB/f.u.
crystal system: trigonal

Cell lengths 12.290, 12.290, 12.290 Å; angles 24.66, 24.66, 24.66 degrees
Fractional positions:
Si 0.000 0.000 0.000
Si 0.101 0.101 0.598
Si 0.101 0.598 0.101
Si 0.402 0.899 0.899
Si 0.598 0.101 0.101
Si 0.899 0.402 0.899
Si 0.899 0.899 0.402
Cl 0.206 0.206 0.206
Cl 0.343 0.343 0.343
Cl 0.435 0.435 0.435
Cl 0.565 0.565 0.565
Cl 0.657 0.657 0.657
Cl 0.794 0.794 0.794